[1]
First-principles (PBE) data for MoH10C4S2Cl4 after structural relaxation, as listed in the Open Quantum Materials Database.

Electronic total energy ... -4.97 eV/atom

a b c (Å): 7.3256 11.5539 8.0229
angles (deg): 90.00 116.15 90.00
Element x y z (fractional)
C1 0.1016 0.6833 0.0304
C2 0.0719 0.5545 0.0452
C3 0.4808 0.4825 0.2403
C4 0.1747 0.2108 0.3465
C5 0.8253 0.7108 0.6535
C6 0.5192 0.9825 0.7597
C7 0.9281 0.0545 0.9548
C8 0.8984 0.1833 0.9696
Cl1 0.4298 0.1716 0.0072
Cl2 0.4726 0.9300 0.2677
Cl3 0.9831 0.9603 0.4131
Cl4 0.7024 0.1846 0.4895
Cl5 0.2976 0.6846 0.5105
Cl6 0.0169 0.4603 0.5869
Cl7 0.5274 0.4300 0.7323
Cl8 0.5702 0.6716 0.9928
H1 0.9840 0.7327 0.0502
H2 0.0758 0.0243 0.0619
H3 0.2507 0.7135 0.1346
H4 0.0779 0.5341 0.1816
H5 0.6088 0.4415 0.2271
H6 0.5143 0.5742 0.2749
H7 0.2621 0.2668 0.2978
H8 0.4533 0.4383 0.3482
H9 0.2241 0.1207 0.3537
H10 0.1945 0.2405 0.4833
H11 0.8055 0.7405 0.5167
H12 0.7759 0.6207 0.6463
H13 0.5467 0.9383 0.6518
H14 0.7379 0.7668 0.7022
H15 0.4857 0.0742 0.7251
H16 0.3912 0.9415 0.7729
H17 0.9221 0.0341 0.8184
H18 0.7493 0.2135 0.8654
H19 0.9242 0.5243 0.9381
H20 0.0160 0.2327 0.9498
Mo1 0.6944 0.0728 0.2467
Mo2 0.3056 0.5728 0.7533
S1 0.2623 0.4642 0.0194
S2 0.9087 0.2282 0.1909
S3 0.0913 0.7282 0.8091
S4 0.7377 0.9642 0.9806



[2]
First-principles (PBE) data for NdH32C8N4Cl7 after structural relaxation, as listed in the Open Quantum Materials Database.

Electronic total energy ... -4.97 eV/atom

a b c (Å): 10.2818 13.2484 8.5866
angles (deg): 90.00 90.00 90.00
Element x y z (fractional)
C1 0.9333 0.3612 0.1137
C2 0.0667 0.6388 0.1137
C3 0.4117 0.1316 0.1748
C4 0.5883 0.8684 0.1748
C5 0.3287 0.4392 0.3867
C6 0.6713 0.5608 0.3867
C7 0.7509 0.2022 0.4480
C8 0.2491 0.7978 0.4480
C9 0.2509 0.2978 0.5520
C10 0.7491 0.7022 0.5520
C11 0.8287 0.0608 0.6133
C12 0.1713 0.9392 0.6133
C13 0.9117 0.3684 0.8252
C14 0.0883 0.6316 0.8252
C15 0.4333 0.1388 0.8863
C16 0.5667 0.8612 0.8863
Cl1 0.7638 0.0938 0.0567
Cl2 0.2362 0.9062 0.0567
Cl3 0.5881 0.3531 0.1274
Cl4 0.4119 0.6469 0.1274
Cl5 0.0793 0.1214 0.3098
Cl6 0.9207 0.8786 0.3098
Cl7 0.0000 0.5000 0.4777
Cl8 0.5000 0.0000 0.5223
Cl9 0.5793 0.3786 0.6902
Cl10 0.4207 0.6214 0.6902
Cl11 0.0881 0.1469 0.8726
Cl12 0.9119 0.8531 0.8726
Cl13 0.2638 0.4062 0.9433
Cl14 0.7362 0.5938 0.9433
H1 0.2707 0.1785 0.0129
H2 0.7293 0.8215 0.0129
H3 0.3948 0.2585 0.0348
H4 0.6052 0.7415 0.0348
H5 0.0390 0.3596 0.0982
H6 0.9610 0.6404 0.0982
H7 0.8985 0.4387 0.1283
H8 0.1015 0.5613 0.1283
H9 0.3814 0.0525 0.1692
H10 0.6186 0.9475 0.1692
H11 0.5175 0.1376 0.1849
H12 0.4825 0.8624 0.1849
H13 0.9057 0.3157 0.2146
H14 0.0943 0.6843 0.2146
H15 0.3638 0.1685 0.2732
H16 0.6362 0.8315 0.2732
H17 0.2676 0.4127 0.2905
H18 0.7324 0.5873 0.2905
H19 0.7079 0.2189 0.3342
H20 0.2921 0.7811 0.3342
H21 0.8227 0.0635 0.3729
H22 0.1773 0.9365 0.3729
H23 0.4258 0.4057 0.3788
H24 0.5742 0.5943 0.3788
H25 0.6645 0.4784 0.3834
H26 0.3355 0.5216 0.3834
H27 0.8463 0.2386 0.4577
H28 0.1537 0.7614 0.4577
H29 0.1862 0.2709 0.4593
H30 0.8138 0.7291 0.4593
H31 0.6747 0.0565 0.4595
H32 0.3253 0.9435 0.4595
H33 0.1747 0.4435 0.5405
H34 0.8253 0.5565 0.5405
H35 0.6862 0.2291 0.5407
H36 0.3138 0.7709 0.5407
H37 0.3463 0.2614 0.5423
H38 0.6537 0.7386 0.5423
H39 0.1645 0.0216 0.6166
H40 0.8355 0.9784 0.6166
H41 0.9258 0.0943 0.6212
H42 0.0742 0.9057 0.6212
H43 0.3227 0.4365 0.6271
H44 0.6773 0.5635 0.6271
H45 0.2079 0.2811 0.6658
H46 0.7921 0.7189 0.6658
H47 0.7676 0.0873 0.7095
H48 0.2324 0.9127 0.7095
H49 0.8638 0.3315 0.7268
H50 0.1362 0.6685 0.7268
H51 0.4057 0.1843 0.7854
H52 0.5943 0.8157 0.7854
H53 0.0175 0.3624 0.8151
H54 0.9825 0.6376 0.8151
H55 0.8814 0.4475 0.8308
H56 0.1186 0.5525 0.8308
H57 0.3985 0.0613 0.8717
H58 0.6015 0.9387 0.8717
H59 0.5390 0.1404 0.9018
H60 0.4610 0.8596 0.9018
H61 0.8948 0.2415 0.9652
H62 0.1052 0.7585 0.9652
H63 0.7707 0.3215 0.9871
H64 0.2293 0.6785 0.9871
N1 0.3714 0.1824 0.0281
N2 0.6286 0.8176 0.0281
N3 0.7675 0.0914 0.4641
N4 0.2325 0.9086 0.4641
N5 0.2675 0.4086 0.5359
N6 0.7325 0.5914 0.5359
N7 0.8714 0.3176 0.9719
N8 0.1286 0.6824 0.9719
Nd1 0.0000 0.0000 0.0730
Nd2 0.5000 0.5000 0.9270



[3]
First-principles (PBE) data for NiH8C2S2N4Cl2 after structural relaxation, as listed in the Open Quantum Materials Database.

Electronic total energy ... -5.37 eV/atom

a b c (Å): 6.9072 6.9072 10.8095
angles (deg): 97.49 97.49 109.24
Element x y z (fractional)
C1 0.7856 0.2676 0.0043
C2 0.7693 0.8486 0.4553
C3 0.2676 0.7856 0.5043
C4 0.8486 0.7693 0.9553
Cl1 0.3719 0.7045 0.1087
Cl2 0.3351 0.1996 0.2161
Cl3 0.7045 0.3719 0.6087
Cl4 0.1996 0.3351 0.7161
H1 0.7298 0.8216 0.1155
H2 0.9923 0.9754 0.1224
H3 0.6690 0.3102 0.1664
H4 0.9391 0.4404 0.1814
H5 0.5443 0.6619 0.3053
H6 0.2650 0.9481 0.3584
H7 0.5943 0.5368 0.4311
H8 0.4335 0.0919 0.4991
H9 0.8216 0.7298 0.6155
H10 0.9754 0.9923 0.6224
H11 0.3102 0.6690 0.6664
H12 0.4404 0.9391 0.6814
H13 0.6619 0.5443 0.8053
H14 0.9481 0.2650 0.8584
H15 0.5368 0.5943 0.9311
H16 0.0919 0.4335 0.9991
N1 0.8608 0.8554 0.0753
N2 0.7998 0.3453 0.1263
N3 0.6288 0.6677 0.3914
N4 0.3203 0.9543 0.4515
N5 0.8554 0.8608 0.5753
N6 0.3453 0.7998 0.6263
N7 0.6677 0.6288 0.8914
N8 0.9543 0.3203 0.9515
Ni1 0.3300 0.9875 0.0396
Ni2 0.9875 0.3300 0.5396
S1 0.8334 0.0587 0.3786
S2 0.1018 0.5518 0.4114
S3 0.0587 0.8334 0.8786
S4 0.5518 0.1018 0.9114



[4]
First-principles (PBE) data for H14Os3C16NClO9 after structural relaxation, as listed in the Open Quantum Materials Database.

Electronic total energy ... -6.82 eV/atom

a b c (Å): 7.9457 10.8080 12.2102
angles (deg): 95.59 92.43 101.81
Element x y z (fractional)
O1 0.4917 0.1581 0.8326
O2 0.6572 0.4337 0.9766
O3 0.2043 0.8124 0.9970
O4 0.7786 0.8651 0.9996
Os1 0.5143 0.1270 0.1705
Os2 0.6009 0.4005 0.2157
Os3 0.7988 0.2493 0.3236
Os4 0.2012 0.7507 0.6764
Os5 0.3991 0.5995 0.7843
Os6 0.4857 0.8730 0.8295
C1 0.6898 0.1647 0.0653
C2 0.3312 0.1306 0.0653
C3 0.6333 0.4202 0.0691
C4 0.5140 0.9510 0.1698
C5 0.9482 0.6390 0.1754
C6 0.3670 0.4045 0.1978
C7 0.9302 0.1587 0.2358
C8 0.1196 0.6743 0.2443
C9 0.6775 0.5923 0.2706
C10 0.8475 0.8113 0.2774
C11 0.1615 0.8143 0.2905
C12 0.3715 0.1360 0.2951
C13 0.5639 0.6459 0.3492
C14 0.0122 0.8496 0.3519
C15 0.7302 0.1057 0.4025
C16 0.9944 0.3461 0.4118
C17 0.0056 0.6539 0.5882
C18 0.2698 0.8943 0.5975
C19 0.9878 0.1504 0.6481
C20 0.4361 0.3541 0.6508
C21 0.6285 0.8640 0.7049
C22 0.8385 0.1857 0.7095
C23 0.1525 0.1887 0.7226
C24 0.3225 0.4077 0.7294
C25 0.8804 0.3257 0.7557
C26 0.0698 0.8413 0.7642
C27 0.6330 0.5955 0.8022
C28 0.0518 0.3610 0.8246
C29 0.4860 0.0490 0.8302
C30 0.3667 0.5798 0.9309
C31 0.6688 0.8694 0.9347
C32 0.3102 0.8353 0.9347
Cl1 0.6022 0.3684 0.4143
Cl2 0.3978 0.6316 0.5857
H1 0.9541 0.6911 0.1021
H2 0.9154 0.5370 0.1487
H3 0.2200 0.6516 0.1916
H4 0.8624 0.8593 0.2020
H5 0.1842 0.8730 0.2216
H6 0.8279 0.3813 0.2388
H7 0.4883 0.7027 0.3056
H8 0.1127 0.6133 0.3120
H9 0.7375 0.8359 0.3180
H10 0.2807 0.8363 0.3442
H11 0.0365 0.9524 0.3775
H12 0.4733 0.5696 0.3809
H13 0.6373 0.7067 0.4200
H14 0.9941 0.8013 0.4270
H15 0.0059 0.1987 0.5730
H16 0.3627 0.2933 0.5800
H17 0.5267 0.4304 0.6191
H18 0.9635 0.0476 0.6225
H19 0.7193 0.1637 0.6558
H20 0.2625 0.1641 0.6820
H21 0.8873 0.3867 0.6880
H22 0.5117 0.2973 0.6944
H23 0.1721 0.6187 0.7612
H24 0.8158 0.1270 0.7784
H25 0.1376 0.1407 0.7980
H26 0.7800 0.3484 0.8084
H27 0.0846 0.4630 0.8513
H28 0.0459 0.3089 0.8979
N1 0.8108 0.6735 0.2413
N2 0.1892 0.3265 0.7587
O5 0.2214 0.1349 0.0004
O6 0.7957 0.1876 0.0030
O7 0.3428 0.5663 0.0234
O8 0.5083 0.8419 0.1674
O9 0.0103 0.0984 0.1839
O10 0.2184 0.3990 0.1907
O11 0.2838 0.1409 0.3686
O12 0.6832 0.0179 0.4498
O13 0.1212 0.3982 0.4620
O14 0.8788 0.6018 0.5380
O15 0.3168 0.9821 0.5502
O16 0.7162 0.8591 0.6314
O17 0.7816 0.6010 0.8093
O18 0.9897 0.9016 0.8161